A plane-wave DFT calculation with PBE with a Hubbard U was carried out for an optimized crystal structure of MgV2HgO.

Cell: 5.4157 5.4157 4.2830 Å, 90.00 90.00 90.00°
Last column: nearest neighbours and their distance in Å.
Positions (direct):
Mg  0.0000  0.0000  0.0000  8 V 3.45, 4 O 3.83
V  0.0000  0.5000  0.5000  2 Hg 2.71
V  0.5000  0.0000  0.5000  2 Hg 2.71
Hg  0.5000  0.5000  0.5000  2 O 2.14
O  0.5000  0.5000  0.0000  2 Hg 2.14

Summary:
DOS(E_F) (states/eV/atom): 0.281
Total energy (eV per atom): -3.130
Space-group type: P4/mmm, No. 123